# 1
Entry from the Alexandria database: a relaxed structure of SmErSc2As4 (PBE).

Lattice parameters (Å, degrees): 6.944 4.025 6.964 90.00 109.54 90.00
Space group P2/m (No. 10)
Unique sites:
Sm 0.000 0.000 0.000
Er 0.000 0.500 0.500
Sc 0.500 0.000 0.500
Sc 0.500 0.500 0.000
As 0.265 0.000 0.751
As 0.268 0.500 0.260

=====

# 2
Entry from the Alexandria database: a relaxed structure of TbEr2ScAs4 (PBE).

Lattice parameters (Å, degrees): 7.011 4.054 7.015 90.00 109.48 90.00
Space group P2/m (No. 10)
Unique sites:
Tb 0.000 0.000 0.000
Er 0.000 0.500 0.500
Er 0.500 0.000 0.500
Sc 0.500 0.500 0.000
As 0.256 0.500 0.248
As 0.259 0.000 0.757

=====

# 3
Entry from the Alexandria database: a relaxed structure of Tb2ErScAs4 (PBE).

Lattice parameters (Å, degrees): 7.033 4.068 7.038 90.00 109.49 90.00
Space group P2/m (No. 10)
Unique sites:
Tb 0.000 0.000 0.000
Tb 0.000 0.500 0.500
Er 0.500 0.000 0.500
Sc 0.500 0.500 0.000
As 0.258 0.500 0.247
As 0.262 0.000 0.759

=====

# 4
Entry from the Alexandria database: a relaxed structure of Tb2ErSc3As6 (PBE).

Lattice parameters (Å, degrees): 6.940 12.020 6.916 90.00 109.52 90.00
Space group C2/m (No. 12)
Unique sites:
Tb 0.000 0.166 0.000
Er 0.000 0.500 0.000
Sc 0.000 0.000 0.500
Sc 0.000 0.333 0.500
As 0.243 0.500 0.735
As 0.246 0.166 0.735

=====

# 5
Entry from the Alexandria database: a relaxed structure of Tb2Er3ScAs6 (PBE).

Lattice parameters (Å, degrees): 17.739 4.073 8.140 90.00 103.28 90.00
Space group C2/m (No. 12)
Unique sites:
Tb 0.165 0.000 0.331
Er 0.000 0.500 0.500
Er 0.167 0.000 0.834
Sc 0.000 0.500 0.000
As 0.002 0.000 0.759
As 0.163 0.500 0.079
As 0.166 0.500 0.585

=====

# 6
Entry from the Alexandria database: a relaxed structure of Er3Th2ScAs6 (PBE).

Lattice parameters (Å, degrees): 17.941 4.131 8.223 90.00 103.36 90.00
Space group C2/m (No. 12)
Unique sites:
Er 0.000 0.000 0.000
Er 0.167 0.500 0.334
Th 0.163 0.500 0.828
Sc 0.000 0.000 0.500
As 0.004 0.500 0.260
As 0.163 0.000 0.572
As 0.165 0.000 0.089

=====

# 7
Entry from the Alexandria database: a relaxed structure of Er2ThScAs4 (PBE).

Lattice parameters (Å, degrees): 7.057 4.100 7.090 90.00 109.47 90.00
Space group P2/m (No. 10)
Unique sites:
Er 0.000 0.000 0.000
Er 0.500 0.500 0.000
Th 0.000 0.500 0.500
Sc 0.500 0.000 0.500
As 0.261 0.500 0.254
As 0.262 0.000 0.754

=====

# 8
Entry from the Alexandria database: a relaxed structure of ErTmSc2As4 (PBE).

Lattice parameters (Å, degrees): 6.882 3.981 6.891 90.00 109.50 90.00
Space group P2/m (No. 10)
Unique sites:
Er 0.000 0.000 0.000
Tm 0.000 0.500 0.500
Sc 0.500 0.000 0.500
Sc 0.500 0.500 0.000
As 0.262 0.000 0.753
As 0.262 0.500 0.255

=====

# 9
Entry from the Alexandria database: a relaxed structure of Er2TmSc3As6 (PBE).

Lattice parameters (Å, degrees): 6.898 11.947 6.881 90.00 109.49 90.00
Space group C2/m (No. 12)
Unique sites:
Er 0.000 0.167 0.000
Tm 0.000 0.500 0.000
Sc 0.000 0.000 0.500
Sc 0.000 0.333 0.500
As 0.245 0.500 0.738
As 0.246 0.166 0.738

=====

# 10
Entry from the Alexandria database: a relaxed structure of Er2Tm3ScAs6 (PBE).

Lattice parameters (Å, degrees): 17.611 4.043 8.081 90.00 103.25 90.00
Space group C2/m (No. 12)
Unique sites:
Er 0.166 0.000 0.332
Tm 0.000 0.500 0.500
Tm 0.167 0.000 0.834
Sc 0.000 0.500 0.000
As 0.001 0.000 0.758
As 0.164 0.500 0.081
As 0.166 0.500 0.584

=====

# 11
Entry from the Alexandria database: a relaxed structure of ErTm2Sc3As6 (PBE).

Lattice parameters (Å, degrees): 6.892 11.936 6.876 90.00 109.48 90.00
Space group C2/m (No. 12)
Unique sites:
Er 0.000 0.000 0.000
Tm 0.000 0.333 0.000
Sc 0.000 0.166 0.500
Sc 0.000 0.500 0.500
As 0.246 0.333 0.738
As 0.247 0.000 0.738

=====

# 12
Entry from the Alexandria database: a relaxed structure of Er2TmScAs4 (PBE).

Lattice parameters (Å, degrees): 6.977 4.032 6.978 90.00 109.47 90.00
Space group P2/m (No. 10)
Unique sites:
Er 0.000 0.000 0.000
Er 0.000 0.500 0.500
Tm 0.500 0.000 0.500
Sc 0.500 0.500 0.000
As 0.255 0.500 0.247
As 0.259 0.000 0.758

=====

ΔH_f (0 K) per entry: -1431, -1473, -1480, -1443, -1490, -1439, -1438, -1437, -1437, -1480, -1435, -1470 meV per atom